# TbSm3Sc6 (PBE, optimized geometry)
data_TbSm3Sc6
_chemical_formula_sum 'Tb4 Sm12 Sc24'
_cell_length_a 11.726
_cell_length_b 15.768
_cell_length_c 6.120
_cell_angle_alpha 90.00
_cell_angle_beta 90.00
_cell_angle_gamma 90.00
_symmetry_space_group_name_H-M 'C m c 21'
_symmetry_Int_Tables_number 36
loop_
_symmetry_equiv_pos_as_xyz
'x,y,z'
'-x,-y,z+1/2'
'-x,y,z'
'x,-y,z+1/2'
'x+1/2,y+1/2,z'
'-x+1/2,-y+1/2,z+1/2'
'-x+1/2,y+1/2,z'
'x+1/2,-y+1/2,z+1/2'
loop_
_atom_site_label
_atom_site_type_symbol
_atom_site_fract_x
_atom_site_fract_y
_atom_site_fract_z
Tb1 Tb 0.000 0.210 0.000
Sm1 Sm 0.000 0.409 0.193
Sm2 Sm 0.199 0.079 0.711
Sc1 Sc 0.000 0.055 0.329
Sc2 Sc 0.000 0.244 0.543
Sc3 Sc 0.141 0.403 0.693
Sc4 Sc 0.216 0.240 0.328
# Spin magnetization (μB per cell): 0.0
# ΔE_f (eV/atom): 0.1828

---

# TaOsRuCl2 (PBE, optimized geometry)
data_TaOsRuCl2
_chemical_formula_sum 'Ta1 Os1 Ru1 Cl2'
_cell_length_a 4.534
_cell_length_b 4.534
_cell_length_c 5.207
_cell_angle_alpha 90.00
_cell_angle_beta 90.00
_cell_angle_gamma 90.00
_symmetry_space_group_name_H-M 'P 4/m m m'
_symmetry_Int_Tables_number 123
_symmetry_space_group_name_Hall '-P 4 2'
loop_
_atom_site_label
_atom_site_type_symbol
_atom_site_fract_x
_atom_site_fract_y
_atom_site_fract_z
Ta1 Ta 0.000 0.000 0.000
Os1 Os 0.000 0.000 0.500
Ru1 Ru 0.500 0.500 0.000
Cl1 Cl 0.000 0.500 0.500
# Spin magnetization (μB per cell): 1.0
# Formation energy without anion corrections (meV per atom): 1543.0

---

# CaCeEuTl (PBE, optimized geometry)
data_CaCeEuTl
_chemical_formula_sum 'Ca4 Ce4 Eu4 Tl4'
_cell_length_a 7.974
_cell_length_b 7.974
_cell_length_c 7.974
_cell_angle_alpha 90.00
_cell_angle_beta 90.00
_cell_angle_gamma 90.00
_symmetry_space_group_name_H-M 'F -4 3 m'
_symmetry_Int_Tables_number 216
_symmetry_space_group_name_Hall 'F -4 2 3'
loop_
_atom_site_label
_atom_site_type_symbol
_atom_site_fract_x
_atom_site_fract_y
_atom_site_fract_z
Ca1 Ca 0.000 0.000 0.000
Ce1 Ce 0.000 0.000 0.500
Eu1 Eu 0.250 0.250 0.750
Tl1 Tl 0.250 0.250 0.250
# Spin magnetization (μB per cell): 38.2
# ΔE_f (eV/atom): -0.0137

---

Number 1: electronic total energy -5.495 eV per atom. Number 2: electronic total energy -5.667 eV per atom. Number 3: electronic total energy -5.158 eV per atom.